1.
A relaxed MnSnH3 crystal. Source: the Alexandria database, functional PBE.

a = 4.0959 Å, b = 4.0959 Å, c = 4.0959 Å
α = 90.00°, β = 90.00°, γ = 90.00°
Space group Pm-3m (No. 221)
One atom of each set of equivalent atoms:
Mn (0.0000, 0.0000, 0.0000) x1
Sn (0.5000, 0.5000, 0.5000) x1
H (0.0000, 0.5000, 0.5000) x3

Properties
Crystal system: cubic
Total moment: 0.97 μB/atom
VASP energy: -19.005 eV/cell

2.
A relaxed Mn2SnH crystal. Source: the Alexandria database, functional PBE.

a = 6.1489 Å, b = 6.1489 Å, c = 6.1489 Å
α = 90.00°, β = 90.00°, γ = 90.00°
Space group Fm-3m (No. 225)
One atom of each set of equivalent atoms:
Mn (0.2500, 0.2500, 0.2500) x8
Sn (0.0000, 0.0000, 0.0000) x4
H (0.0000, 0.0000, 0.5000) x4

Properties
Crystal system: cubic
Total moment: 1.57 μB/atom
VASP energy: -92.184 eV/cell

3.
A relaxed MnSnH crystal. Source: the Alexandria database, functional PBE.

a = 3.2612 Å, b = 3.2612 Å, c = 4.0113 Å
α = 90.00°, β = 90.00°, γ = 120.00°
Space group P-6m2 (No. 187)
One atom of each set of equivalent atoms:
Mn (0.0000, 0.0000, 0.0000) x1
Sn (0.6667, 0.3333, 0.5000) x1
H (0.3333, 0.6667, 0.0000) x1

Properties
Crystal system: hexagonal
Total moment: 0.69 μB/atom
VASP energy: -15.968 eV/cell

4.
A relaxed MnSn2H crystal. Source: the Alexandria database, functional PBE.

a = 6.3587 Å, b = 6.3587 Å, c = 6.3587 Å
α = 90.00°, β = 90.00°, γ = 90.00°
Space group Fm-3m (No. 225)
One atom of each set of equivalent atoms:
Mn (0.0000, 0.0000, 0.0000) x4
Sn (0.2500, 0.2500, 0.2500) x8
H (0.0000, 0.0000, 0.5000) x4

Properties
Crystal system: cubic
Total moment: 0.91 μB/atom
VASP energy: -73.333 eV/cell

5.
A relaxed MnSn3H crystal. Source: the Alexandria database, functional PBE.

a = 4.9785 Å, b = 4.9785 Å, c = 4.9785 Å
α = 90.00°, β = 90.00°, γ = 90.00°
Space group Pm-3m (No. 221)
One atom of each set of equivalent atoms:
Mn (0.0000, 0.0000, 0.0000) x1
Sn (0.0000, 0.0000, 0.5000) x3
H (0.5000, 0.5000, 0.5000) x1

Properties
Crystal system: cubic
Total moment: 0.00 μB/atom
VASP energy: -22.667 eV/cell

6.
A relaxed MnSnH3 crystal. Source: the Alexandria database, functional PBE.

a = 3.6263 Å, b = 3.6263 Å, c = 3.6263 Å
α = 90.00°, β = 90.00°, γ = 90.00°
Space group Pm-3m (No. 221)
One atom of each set of equivalent atoms:
Mn (0.0000, 0.0000, 0.0000) x1
Sn (0.5000, 0.5000, 0.5000) x1
H (0.0000, 0.0000, 0.5000) x3

Properties
Crystal system: cubic
Total moment: 0.52 μB/atom
VASP energy: -21.846 eV/cell

7.
A relaxed MnSn3H crystal. Source: the Alexandria database, functional PBE.

a = 4.5262 Å, b = 4.5262 Å, c = 4.5262 Å
α = 90.00°, β = 90.00°, γ = 90.00°
Space group Pm-3m (No. 221)
One atom of each set of equivalent atoms:
Mn (0.0000, 0.0000, 0.0000) x1
Sn (0.0000, 0.5000, 0.5000) x3
H (0.5000, 0.5000, 0.5000) x1

Properties
Crystal system: cubic
Total moment: 0.01 μB/atom
VASP energy: -20.660 eV/cell

8.
A relaxed Mn4Sn2H crystal. Source: the Alexandria database, functional PBE.

a = 3.8902 Å, b = 3.8902 Å, c = 13.0785 Å
α = 90.00°, β = 90.00°, γ = 90.00°
Space group I4/mmm (No. 139)
One atom of each set of equivalent atoms:
Mn (0.0000, 0.0000, 0.1408) x4
Mn (0.0000, 0.5000, 0.0000) x4
Sn (0.0000, 0.0000, 0.3492) x4
H (0.0000, 0.0000, 0.0000) x2

Properties
Crystal system: tetragonal
Total moment: 1.42 μB/atom
VASP energy: -94.718 eV/cell

9.
A relaxed MnSnH crystal. Source: the Alexandria database, functional PBE.

a = 8.8797 Å, b = 4.1032 Å, c = 5.7750 Å
α = 90.00°, β = 130.58°, γ = 90.00°
Space group C2/m (No. 12)
One atom of each set of equivalent atoms:
Mn (0.2493, 0.0000, 0.1230) x4
Sn (0.0000, 0.0000, 0.5000) x2
Sn (0.0000, 0.5000, 0.0000) x2
H (0.2495, 0.5000, 0.5977) x4

Properties
Crystal system: monoclinic
Total moment: 0.68 μB/atom
VASP energy: -63.375 eV/cell

10.
A relaxed Ta2MnSnH crystal. Source: the Alexandria database, functional PBE.

a = 4.0868 Å, b = 4.0868 Å, c = 4.3031 Å
α = 90.00°, β = 90.00°, γ = 90.00°
Space group P4/mmm (No. 123)
One atom of each set of equivalent atoms:
Ta (0.0000, 0.5000, 0.0000) x2
Mn (0.0000, 0.0000, 0.5000) x1
Sn (0.5000, 0.5000, 0.5000) x1
H (0.0000, 0.0000, 0.0000) x1

Properties
Crystal system: tetragonal
Total moment: 0.50 μB/atom
VASP energy: -40.269 eV/cell

11.
A relaxed MnTcSn2H crystal. Source: the Alexandria database, functional PBE.

a = 5.1345 Å, b = 5.1345 Å, c = 3.3092 Å
α = 90.00°, β = 90.00°, γ = 90.00°
Space group P4/mmm (No. 123)
One atom of each set of equivalent atoms:
Mn (0.0000, 0.0000, 0.0000) x1
Tc (0.5000, 0.5000, 0.5000) x1
Sn (0.0000, 0.5000, 0.5000) x2
H (0.5000, 0.5000, 0.0000) x1

Properties
Crystal system: tetragonal
Total moment: 0.08 μB/atom
VASP energy: -26.342 eV/cell

12.
A relaxed Mn2TcSnH crystal. Source: the Alexandria database, functional PBE.

a = 3.9163 Å, b = 3.9163 Å, c = 4.0196 Å
α = 90.00°, β = 90.00°, γ = 90.00°
Space group P4/mmm (No. 123)
One atom of each set of equivalent atoms:
Mn (0.0000, 0.5000, 0.0000) x2
Tc (0.0000, 0.0000, 0.5000) x1
Sn (0.5000, 0.5000, 0.5000) x1
H (0.0000, 0.0000, 0.0000) x1

Properties
Crystal system: tetragonal
Total moment: 1.11 μB/atom
VASP energy: -35.884 eV/cell

What did the first record say?
A relaxed MnSnH3 crystal. Source: the Alexandria database, functional PBE.

a = 4.0959 Å, b = 4.0959 Å, c = 4.0959 Å
α = 90.00°, β = 90.00°, γ = 90.00°
Space group Pm-3m (No. 221)
One atom of each set of equivalent atoms:
Mn (0.0000, 0.0000, 0.0000) x1
Sn (0.5000, 0.5000, 0.5000) x1
H (0.0000, 0.5000, 0.5000) x3

Properties
Crystal system: cubic
Total moment: 0.97 μB/atom
VASP energy: -19.005 eV/cell

- Look up the VASP energy of the seventh one.
  -20.660 eV/cell

- What is the VASP energy in the sixth record?
  -21.846 eV/cell